# 1
Material: Tm2Fe2Co15
Method: DFT, PBE-GGA
State: relaxed

Structure (POSCAR):
```
Tm2Fe2Co15
1.0
4.122 2.380 4.005
-4.122 2.380 4.005
0.000 -4.760 4.005
Tm Fe Co
2 2 15
Cartesian
0.000 0.000 1.861
0.000 0.000 10.154
0.000 0.000 4.825
0.000 0.000 7.191
-2.061 -1.190 4.005
0.000 -2.382 3.831
-2.063 1.191 3.831
-1.198 -2.074 6.008
-2.395 0.000 6.008
-2.063 -1.191 8.184
-2.061 1.190 8.010
1.198 -2.074 6.008
0.000 2.380 4.005
-1.198 2.074 6.008
2.063 1.191 3.831
2.395 0.000 6.008
1.198 2.074 6.008
2.063 -1.191 8.184
0.000 2.382 8.184
```

Output
- theoretical density (kg/m³) = 9394
- DFT formation energy (eV per atom) = -0.120

# 2
Material: NdEr2Mg3Al2Cd
Method: DFT, PBE-GGA
State: relaxed

Structure (POSCAR):
```
NdEr2Mg3Al2Cd
1.0
4.587 0.000 0.000
0.000 6.506 3.679
0.000 -6.506 3.679
Nd Er Mg Al Cd
1 2 3 2 1
Cartesian
0.000 0.000 0.000
0.000 -2.800 4.723
0.000 2.800 4.723
2.294 -1.591 2.262
2.294 1.591 2.262
2.294 0.000 4.971
2.294 -4.294 3.138
2.294 4.294 3.138
0.000 0.000 3.231
```

Output
- theoretical density (kg/m³) = 5429
- uncorrected energy (eV/atom) = -3.298